DFT (PBE) results for SmEuTh after structural relaxation.

a = 3.644 Å, b = 3.644 Å, c = 8.341 Å
α = 102.62°, β = 102.62°, γ = 90.00°
Last column: magnetic moment on the atom in μB.
Atoms (fractional coordinates):
Eu1 0.995 0.995 0.990  6.99
Sm1 0.678 0.678 0.355  0.01
Th1 0.328 0.328 0.655  0.12

Summary:
Uncorrected energy (eV/atom): -7.384
Excess energy over the best structure of this formula in the dataset (meV per atom): 8
Formation enthalpy at 0 K (eV/atom): 0.088
M_tot (Bohr magnetons per cell): 7.78
Fermi-level density of states (states/eV/f.u.): 3.81



DFT (PBE) results for SmEuTh after structural relaxation.

a = 3.647 Å, b = 3.647 Å, c = 9.072 Å
α = 90.00°, β = 90.00°, γ = 120.00°
Last column: magnetic moment on the atom in μB.
Atoms (fractional coordinates):
Th1 0.333 0.667 0.659  0.04
Eu1 0.000 0.000 0.992  7.01
Sm1 0.667 0.333 0.348  0.07

Summary:
Uncorrected energy (eV/atom): -7.391
Excess energy over the best structure of this formula in the dataset (meV per atom): 0
Formation enthalpy at 0 K (eV/atom): 0.080
M_tot (Bohr magnetons per cell): 7.77
Fermi-level density of states (states/eV/f.u.): 4.24



DFT (PBE) results for SmEuTmTh after structural relaxation.

a = 5.757 Å, b = 5.757 Å, c = 5.757 Å
α = 60.00°, β = 60.00°, γ = 60.00°
Last column: magnetic moment on the atom in μB.
Atoms (fractional coordinates):
Sm1 0.250 0.250 0.250  0.00
Eu1 0.000 0.000 0.000  6.85
Th1 0.500 0.500 0.500  -0.09
Tm1 0.750 0.750 0.750  -0.02

Summary:
Uncorrected energy (eV/atom): -6.511
Formation enthalpy at 0 K (eV/atom): 0.210
M_tot (Bohr magnetons per cell): 6.95
Fermi-level density of states (states/eV/f.u.): 7.90



DFT (PBE) results for SmEuYTh after structural relaxation.

a = 5.789 Å, b = 5.789 Å, c = 5.789 Å
α = 60.00°, β = 60.00°, γ = 60.00°
Last column: magnetic moment on the atom in μB.
Atoms (fractional coordinates):
Eu1 0.750 0.750 0.750  6.85
Y1 0.500 0.500 0.500  -0.03
Th1 0.250 0.250 0.250  -0.13
Sm1 0.000 0.000 0.000  -0.02

Summary:
Uncorrected energy (eV/atom): -7.009
Formation enthalpy at 0 K (eV/atom): 0.210
M_tot (Bohr magnetons per cell): 6.83
Fermi-level density of states (states/eV/f.u.): 8.11



DFT (PBE) results for SmEu2Tl after structural relaxation.

a = 3.760 Å, b = 3.760 Å, c = 9.773 Å
α = 90.00°, β = 90.00°, γ = 90.00°
Last column: magnetic moment on the atom in μB.
Atoms (fractional coordinates):
Tl1 0.500 0.500 0.000  0.01
Sm1 0.500 0.500 0.500  0.20
Eu1 0.000 0.000 0.778  6.90
Eu2 0.000 0.000 0.222  6.90

Summary:
Uncorrected energy (eV/atom): -7.045
Excess energy over the best structure of this formula in the dataset (meV per atom): 23
Formation enthalpy at 0 K (eV/atom): -0.137
M_tot (Bohr magnetons per cell): 14.95
Fermi-level density of states (states/eV/f.u.): 8.10



DFT (PBE) results for SmEuTl after structural relaxation.

a = 3.443 Å, b = 3.443 Å, c = 9.354 Å
α = 100.60°, β = 100.60°, γ = 90.00°
Last column: magnetic moment on the atom in μB.
Atoms (fractional coordinates):
Eu1 0.763 0.763 0.527  -6.97
Tl1 0.130 0.130 0.259  -0.01
Sm1 0.957 0.957 0.914  -0.13

Summary:
Uncorrected energy (eV/atom): -5.545
Excess energy over the best structure of this formula in the dataset (meV per atom): 417
Formation enthalpy at 0 K (eV/atom): 0.241
M_tot (Bohr magnetons per cell): 7.54
Fermi-level density of states (states/eV/f.u.): 5.36



DFT (PBE) results for SmEuTl4 after structural relaxation.

a = 6.311 Å, b = 6.311 Å, c = 6.311 Å
α = 60.00°, β = 60.00°, γ = 60.00°
Last column: magnetic moment on the atom in μB.
Atoms (fractional coordinates):
Tl1 0.124 0.625 0.625  0.01
Tl2 0.625 0.625 0.124  0.01
Tl3 0.625 0.124 0.625  0.01
Tl4 0.625 0.625 0.625  0.01
Eu1 0.250 0.250 0.250  6.92
Sm1 0.000 0.000 0.000  0.16

Summary:
Uncorrected energy (eV/atom): -4.230
Formation enthalpy at 0 K (eV/atom): -0.154
M_tot (Bohr magnetons per cell): 7.69
Fermi-level density of states (states/eV/f.u.): 5.27



DFT (PBE) results for SmEu2Tl after structural relaxation.

a = 5.705 Å, b = 5.705 Å, c = 5.705 Å
α = 60.00°, β = 60.00°, γ = 60.00°
Last column: magnetic moment on the atom in μB.
Atoms (fractional coordinates):
Eu1 0.250 0.250 0.250  6.93
Eu2 0.750 0.750 0.750  6.93
Tl1 0.500 0.500 0.500  -0.04
Sm1 0.000 0.000 0.000  0.43

Summary:
Uncorrected energy (eV/atom): -6.938
Excess energy over the best structure of this formula in the dataset (meV per atom): 130
Formation enthalpy at 0 K (eV/atom): -0.030
M_tot (Bohr magnetons per cell): 15.27
Fermi-level density of states (states/eV/f.u.): 5.18



DFT (PBE) results for SmEu2Tl after structural relaxation.

a = 3.667 Å, b = 3.667 Å, c = 12.475 Å
α = 81.55°, β = 81.55°, γ = 60.00°
Last column: magnetic moment on the atom in μB.
Atoms (fractional coordinates):
Eu1 0.095 0.095 0.715  6.97
Eu2 0.905 0.905 0.285  6.97
Sm1 0.000 0.000 0.000  0.20
Tl1 0.500 0.500 0.500  -0.01

Summary:
Uncorrected energy (eV/atom): -6.849
Excess energy over the best structure of this formula in the dataset (meV per atom): 219
Formation enthalpy at 0 K (eV/atom): 0.060
M_tot (Bohr magnetons per cell): 15.09
Fermi-level density of states (states/eV/f.u.): 4.24



DFT (PBE) results for SmEu2Tl after structural relaxation.

a = 5.259 Å, b = 4.958 Å, c = 4.958 Å
α = 90.00°, β = 90.00°, γ = 90.00°
Last column: magnetic moment on the atom in μB.
Atoms (fractional coordinates):
Tl1 0.500 0.000 0.000  -0.04
Eu1 0.000 0.000 0.500  6.89
Eu2 0.000 0.500 0.000  6.89
Sm1 0.500 0.500 0.500  0.07

Summary:
Uncorrected energy (eV/atom): -7.068
Excess energy over the best structure of this formula in the dataset (meV per atom): 0
Formation enthalpy at 0 K (eV/atom): -0.160
M_tot (Bohr magnetons per cell): 14.36
Fermi-level density of states (states/eV/f.u.): 3.00



DFT (PBE) results for SmEuTl after structural relaxation.

a = 5.391 Å, b = 5.391 Å, c = 5.391 Å
α = 60.00°, β = 60.00°, γ = 60.00°
Last column: magnetic moment on the atom in μB.
Atoms (fractional coordinates):
Tl1 0.250 0.250 0.250  -0.02
Eu1 0.500 0.500 0.500  6.88
Sm1 0.000 0.000 0.000  0.08

Summary:
Uncorrected energy (eV/atom): -5.867
Excess energy over the best structure of this formula in the dataset (meV per atom): 95
Formation enthalpy at 0 K (eV/atom): -0.081
M_tot (Bohr magnetons per cell): 7.43
Fermi-level density of states (states/eV/f.u.): 8.98



DFT (PBE) results for SmEuTl after structural relaxation.

a = 3.785 Å, b = 5.422 Å, c = 5.422 Å
α = 120.00°, β = 90.00°, γ = 90.00°
Last column: magnetic moment on the atom in μB.
Atoms (fractional coordinates):
Tl1 0.051 0.000 0.000  -0.03
Sm1 0.258 0.667 0.333  0.02
Eu1 0.691 0.333 0.667  6.88

Summary:
Uncorrected energy (eV/atom): -5.962
Excess energy over the best structure of this formula in the dataset (meV per atom): 0
Formation enthalpy at 0 K (eV/atom): -0.176
M_tot (Bohr magnetons per cell): 7.14
Fermi-level density of states (states/eV/f.u.): 2.40



DFT (PBE) results for SmEuTmTl after structural relaxation.

a = 5.540 Å, b = 5.540 Å, c = 5.540 Å
α = 60.00°, β = 60.00°, γ = 60.00°
Last column: magnetic moment on the atom in μB.
Atoms (fractional coordinates):
Sm1 0.750 0.750 0.750  0.12
Tm1 0.250 0.250 0.250  0.18
Eu1 0.500 0.500 0.500  6.93
Tl1 0.000 0.000 0.000  -0.02

Summary:
Uncorrected energy (eV/atom): -5.480
Formation enthalpy at 0 K (eV/atom): -0.022
M_tot (Bohr magnetons per cell): 7.62
Fermi-level density of states (states/eV/f.u.): 6.26



DFT (PBE) results for SmEuTlZn after structural relaxation.

a = 5.404 Å, b = 5.404 Å, c = 5.404 Å
α = 60.00°, β = 60.00°, γ = 60.00°
Last column: magnetic moment on the atom in μB.
Atoms (fractional coordinates):
Eu1 0.750 0.750 0.750  6.87
Sm1 0.250 0.250 0.250  0.08
Zn1 0.000 0.000 0.000  0.01
Tl1 0.500 0.500 0.500  -0.01

Summary:
Uncorrected energy (eV/atom): -4.978
Formation enthalpy at 0 K (eV/atom): -0.320
M_tot (Bohr magnetons per cell): 7.34
Fermi-level density of states (states/eV/f.u.): 7.52



DFT (PBE) results for SmEuTm after structural relaxation.

a = 3.659 Å, b = 3.659 Å, c = 8.141 Å
α = 102.99°, β = 102.99°, γ = 90.00°
Last column: magnetic moment on the atom in μB.
Atoms (fractional coordinates):
Sm1 0.676 0.676 0.351  0.07
Tm1 0.326 0.326 0.652  0.08
Eu1 0.998 0.998 0.997  -6.95

Summary:
Uncorrected energy (eV/atom): -6.431
Formation enthalpy at 0 K (eV/atom): 0.057
M_tot (Bohr magnetons per cell): 7.17
Fermi-level density of states (states/eV/f.u.): 3.79